Record 1
Computed, not measured: a relaxed Rb4Pb3Br10 crystal at the PBE level of DFT.

As for the space-group type: I4/mmm. The calculation puts the final energy at -53.7 eV/cell. The size of the total moment is 0.0 μB per formula unit. The calculation puts the uncorrected formation energy at -22.0 eV/f.u.

Lattice parameters (Å, degrees): 5.980 5.980 20.982 98.19 98.19 90.00
Fractional positions:
Br: 0.644 0.144 0.289
Br: 0.928 0.928 0.855
Br: 0.356 0.856 0.711
Br: 0.144 0.644 0.289
Br: 0.781 0.781 0.563
Br: 0.856 0.356 0.711
Br: 0.500 0.000 0.000
Br: 0.000 0.500 0.000
Br: 0.072 0.072 0.145
Br: 0.219 0.219 0.437
Pb: 0.852 0.852 0.704
Pb: 0.000 0.000 0.000
Pb: 0.148 0.148 0.296
Rb: 0.567 0.567 0.134
Rb: 0.301 0.301 0.602
Rb: 0.699 0.699 0.398
Rb: 0.433 0.433 0.866

---

Record 2
Computed, not measured: a relaxed Rb5Pb3Br12 crystal at the PBE level of DFT.

As for the space-group type: Ia-3d. The calculation puts the final energy at -238.2 eV/cell. The size of the total moment is 0.0 μB per formula unit. The calculation puts the uncorrected formation energy at -23.5 eV/f.u.

Lattice parameters (Å, degrees): 17.443 17.443 17.443 109.47 109.47 109.47
Fractional positions:
Br: 0.116 0.479 0.683
Br: 0.616 0.433 0.137
Br: 0.567 0.183 0.704
Br: 0.817 0.384 0.521
Br: 0.021 0.704 0.137
Br: 0.479 0.363 0.796
Br: 0.817 0.433 0.796
Br: 0.433 0.616 0.637
Br: 0.116 0.637 0.933
Br: 0.479 0.116 0.183
Br: 0.183 0.616 0.479
Br: 0.863 0.067 0.384
Br: 0.433 0.817 0.296
Br: 0.204 0.067 0.183
Br: 0.637 0.521 0.704
Br: 0.317 0.021 0.884
Br: 0.979 0.683 0.616
Br: 0.067 0.863 0.884
Br: 0.521 0.637 0.204
Br: 0.704 0.021 0.637
Br: 0.796 0.933 0.817
Br: 0.683 0.704 0.067
Br: 0.933 0.796 0.317
Br: 0.884 0.363 0.067
Br: 0.067 0.204 0.683
Br: 0.317 0.296 0.933
Br: 0.796 0.863 0.479
Br: 0.637 0.116 0.433
Br: 0.183 0.567 0.204
Br: 0.384 0.817 0.021
Br: 0.296 0.317 0.433
Br: 0.296 0.979 0.363
Br: 0.884 0.521 0.317
Br: 0.933 0.137 0.116
Br: 0.616 0.183 0.979
Br: 0.979 0.296 0.863
Br: 0.137 0.933 0.616
Br: 0.363 0.479 0.296
Br: 0.521 0.884 0.817
Br: 0.704 0.683 0.567
Br: 0.204 0.137 0.521
Br: 0.567 0.384 0.363
Br: 0.021 0.317 0.384
Br: 0.384 0.567 0.863
Br: 0.863 0.796 0.979
Br: 0.137 0.204 0.021
Br: 0.683 0.979 0.116
Br: 0.363 0.884 0.567
Pb: 0.250 0.125 0.375
Pb: 0.750 0.875 0.625
Pb: 0.625 0.375 0.750
Pb: 0.125 0.250 0.875
Pb: 0.875 0.125 0.250
Pb: 0.375 0.625 0.250
Pb: 0.750 0.375 0.125
Pb: 0.375 0.750 0.625
Pb: 0.125 0.875 0.750
Pb: 0.875 0.750 0.125
Pb: 0.250 0.625 0.875
Pb: 0.625 0.250 0.375
Rb: 0.500 0.500 0.500
Rb: 0.000 0.000 0.500
Rb: 0.250 0.375 0.625
Rb: 0.000 0.500 0.000
Rb: 0.125 0.375 0.250
Rb: 0.375 0.250 0.125
Rb: 0.500 0.500 0.000
Rb: 0.750 0.125 0.875
Rb: 0.500 0.000 0.500
Rb: 0.875 0.250 0.625
Rb: 0.000 0.500 0.500
Rb: 0.500 0.000 0.000
Rb: 0.875 0.625 0.750
Rb: 0.250 0.875 0.125
Rb: 0.750 0.625 0.375
Rb: 0.625 0.750 0.875
Rb: 0.375 0.125 0.750
Rb: 0.000 0.000 0.000
Rb: 0.125 0.750 0.375
Rb: 0.625 0.875 0.250

---

Record 3
Computed, not measured: a relaxed Rb2PbBr4 crystal at the PBE level of DFT.

As for the energy relative to the lowest polymorph listed for this composition: 46 meV/atom. As for the space-group type: I4/mmm. The calculation puts the final energy at -21.9 eV/cell. The size of the total moment is 0.0 μB per formula unit. The calculation puts the uncorrected formation energy at -9.6 eV/f.u.

Lattice parameters (Å, degrees): 5.948 5.948 9.758 72.25 72.25 90.00
Fractional positions:
Pb: 0.000 0.000 0.000
Br: 0.829 0.829 0.341
Br: 0.500 0.000 0.000
Br: 0.171 0.171 0.659
Br: 0.000 0.500 0.000
Rb: 0.361 0.361 0.277
Rb: 0.639 0.639 0.723

---

Record 4
Computed, not measured: a relaxed RbPbBr2 crystal at the PBE level of DFT.

As for the energy relative to the lowest polymorph listed for this composition: 0 meV/atom. As for the space-group type: R-3m. The calculation puts the final energy at -11.7 eV/cell. The size of the total moment is 0.0 μB per formula unit. The calculation puts the uncorrected formation energy at -3.7 eV/f.u.

Lattice parameters (Å, degrees): 10.580 10.580 10.580 23.85 23.85 23.85
Fractional positions:
Br: 0.095 0.095 0.095
Br: 0.905 0.905 0.905
Rb: 0.500 0.500 0.500
Pb: 0.000 0.000 0.000

---

Repeat the third record exactly.
Computed, not measured: a relaxed Rb2PbBr4 crystal at the PBE level of DFT.

As for the energy relative to the lowest polymorph listed for this composition: 46 meV/atom. As for the space-group type: I4/mmm. The calculation puts the final energy at -21.9 eV/cell. The size of the total moment is 0.0 μB per formula unit. The calculation puts the uncorrected formation energy at -9.6 eV/f.u.

Lattice parameters (Å, degrees): 5.948 5.948 9.758 72.25 72.25 90.00
Fractional positions:
Pb: 0.000 0.000 0.000
Br: 0.829 0.829 0.341
Br: 0.500 0.000 0.000
Br: 0.171 0.171 0.659
Br: 0.000 0.500 0.000
Rb: 0.361 0.361 0.277
Rb: 0.639 0.639 0.723